(1)
VASP calculation (PBE) on an optimized crystal structure of CrInPd14.

Its density of states at the Fermi level is 1.812 states/eV/atom. Its formation energy is -121 meV per atom. As for the total moment: 0.1400 μB/atom.

Structure (CIF):
```
data_CrInPd14
_cell_length_a 5.626
_cell_length_b 5.626
_cell_length_c 7.857
_cell_angle_alpha 90.00
_cell_angle_beta 90.00
_cell_angle_gamma 90.00
_space_group_name_H-M_alt 'P 4/m m m'
_space_group_IT_number 123
_space_group_name_Hall '-P 4 2'
loop_
_atom_site_label
_atom_site_type_symbol
_atom_site_fract_x
_atom_site_fract_y
_atom_site_fract_z
_atom_site_occupancy
Cr1 Cr 0.000 0.000 0.000 1
In1 In 0.500 0.500 0.000 1
Pd1 Pd 0.000 0.000 0.500 1
Pd2 Pd 0.000 0.500 0.000 1
Pd3 Pd 0.000 0.500 0.500 1
Pd4 Pd 0.247 0.247 0.248 1
Pd5 Pd 0.500 0.500 0.500 1
```


(2)
VASP calculation (PBE) on an optimized crystal structure of Y3Ni3Sb4.

Its density of states at the Fermi level is 0.675 states/eV/atom. The calculation puts the formation energy (no corrections) at -0.8043 eV per atom. As for the total moment: 0.0000 μB/atom.

Structure (CIF):
```
data_Y3Ni3Sb4
_cell_length_a 9.510
_cell_length_b 9.510
_cell_length_c 9.510
_cell_angle_alpha 90.00
_cell_angle_beta 90.00
_cell_angle_gamma 90.00
_space_group_name_H-M_alt 'I -4 3 d'
_space_group_IT_number 220
_space_group_name_Hall 'I -4bd 2c 3'
loop_
_atom_site_label
_atom_site_type_symbol
_atom_site_fract_x
_atom_site_fract_y
_atom_site_fract_z
_atom_site_occupancy
Y1 Y 0.000 0.250 0.875 1
Ni1 Ni 0.000 0.250 0.375 1
Sb1 Sb 0.071 0.429 0.571 1
```


(3)
VASP calculation (PBE) on an optimized crystal structure of MgSnHSe.

Its density of states at the Fermi level is 0.259 states/eV/atom. For the polymorph energy (0 for the lowest one), the calculation gives 169 meV per atom. As for the total moment: 0.0000 μB/atom.

Structure (CIF):
```
data_MgSnHSe
_cell_length_a 6.344
_cell_length_b 3.662
_cell_length_c 7.137
_cell_angle_alpha 90.00
_cell_angle_beta 96.88
_cell_angle_gamma 90.00
_space_group_name_H-M_alt 'C 1 m 1'
_space_group_IT_number 8
loop_
_space_group_symop_operation_xyz
'x,y,z'
'x,-y,z'
'x+1/2,y+1/2,z'
'x+1/2,-y+1/2,z'
loop_
_atom_site_label
_atom_site_type_symbol
_atom_site_fract_x
_atom_site_fract_y
_atom_site_fract_z
_atom_site_occupancy
Mg1 Mg 0.000 0.000 0.000 1
Sn1 Sn 0.135 0.500 0.377 1
H1 H 0.335 0.000 0.996 1
Se1 Se 0.493 0.500 0.627 1
```